A geometry-optimized NaSnAs2Se structure. Source: Alexandria via LeMat-Bulk, functional PBE.

a b c (Å): 5.041 5.041 5.225
angles (deg): 90.00 90.00 90.00
Each line ends with the local moment (μB).
Element x y z (fractional)
1 Se 0.000 0.000 0.500  0.11
2 Na 0.000 0.000 0.000  0.01
3 As 0.500 0.000 0.000  0.09
4 As 0.000 0.500 0.000  0.09
5 Sn 0.500 0.500 0.500  0.01

Values from the calculation:
electronic total energy	-2.879	eV/atom
V	26.56	Å³ per atom
formation energy from raw total energies	71.6	kJ per mole of atoms
offset from the most stable computed form	404	meV/atom

***

A geometry-optimized NaTaAs2Se structure. Source: Alexandria via LeMat-Bulk, functional PBE.

a b c (Å): 5.059 5.059 5.071
angles (deg): 90.00 90.00 90.00
Element x y z (fractional)
1 As 0.500 0.000 0.000
2 As 0.000 0.500 0.000
3 Na 0.500 0.500 0.500
4 Se 0.000 0.000 0.500
5 Ta 0.000 0.000 0.000

Values from the calculation:
electronic total energy	-5.375	eV/atom
V	25.95	Å³ per atom
formation energy from raw total energies	-17.8	kJ per mole of atoms
offset from the most stable computed form	0	meV/atom

***

A geometry-optimized NaTaAsSe2 structure. Source: Alexandria via LeMat-Bulk, functional PBE.

a b c (Å): 5.076 5.076 5.071
angles (deg): 90.00 90.00 90.00
Element x y z (fractional)
1 Na 0.500 0.500 0.500
2 As 0.000 0.000 0.500
3 Se 0.500 0.000 0.000
4 Se 0.000 0.500 0.000
5 Ta 0.000 0.000 0.000

Values from the calculation:
electronic total energy	-5.347	eV/atom
V	26.13	Å³ per atom
formation energy from raw total energies	-37.5	kJ per mole of atoms
offset from the most stable computed form	0	meV/atom

***

A geometry-optimized NaTaAs2Se structure. Source: Alexandria via LeMat-Bulk, functional PBE.

a b c (Å): 4.783 4.783 4.900
angles (deg): 90.00 90.00 90.00
Element x y z (fractional)
1 Na 0.000 0.000 0.000
2 Ta 0.500 0.500 0.500
3 As 0.500 0.000 0.000
4 As 0.000 0.500 0.000
5 Se 0.000 0.000 0.500

Values from the calculation:
electronic total energy	-3.779	eV/atom
V	22.42	Å³ per atom
formation energy from raw total energies	136.2	kJ per mole of atoms
offset from the most stable computed form	1596	meV/atom

***

A geometry-optimized NaTaAsSe2 structure. Source: Alexandria via LeMat-Bulk, functional PBE.

a b c (Å): 4.889 4.889 4.771
angles (deg): 90.00 90.00 90.00
Element x y z (fractional)
1 As 0.000 0.000 0.500
2 Na 0.000 0.000 0.000
3 Ta 0.500 0.500 0.500
4 Se 0.500 0.000 0.000
5 Se 0.000 0.500 0.000

Values from the calculation:
electronic total energy	-3.666	eV/atom
V	22.81	Å³ per atom
formation energy from raw total energies	124.7	kJ per mole of atoms
offset from the most stable computed form	1681	meV/atom

***

A geometry-optimized Na2TbAsSe4 structure. Source: Alexandria via LeMat-Bulk, functional PBE.

a b c (Å): 8.258 8.258 8.347
angles (deg): 120.37 120.37 90.07
Element x y z (fractional)
1 Se 0.246 0.253 0.025
2 Se 0.229 0.756 0.993
3 Se 0.247 0.254 0.475
4 Se 0.753 0.746 0.525
5 Se 0.744 0.271 0.507
6 Se 0.771 0.244 0.007
7 Se 0.256 0.729 0.493
8 Se 0.754 0.747 0.975
9 Na 0.500 0.000 0.000
10 Na 0.500 0.500 0.000
11 Na 0.000 0.000 0.500
12 Na 0.500 0.000 0.500
13 Tb 0.000 0.500 0.000
14 Tb 0.000 0.500 0.500
15 As 0.500 0.500 0.500
16 As 0.000 0.000 0.000

Values from the calculation:
electronic total energy	-4.318	eV/atom
V	24.86	Å³ per atom
formation energy from raw total energies	-104.8	kJ per mole of atoms

***

A geometry-optimized NaTcAsSe2 structure. Source: Alexandria via LeMat-Bulk, functional PBE.

a b c (Å): 5.054 5.054 4.921
angles (deg): 90.00 90.00 90.00
Each line ends with the local moment (μB).
Element x y z (fractional)
1 Tc 0.500 0.500 0.500  3.72
2 Se 0.000 0.500 0.000  -0.12
3 Se 0.500 0.000 0.000  -0.12
4 As 0.000 0.000 0.500  -0.10
5 Na 0.000 0.000 0.000  0.01

Values from the calculation:
electronic total energy	-3.353	eV/atom
V	25.14	Å³ per atom
formation energy from raw total energies	126.2	kJ per mole of atoms
offset from the most stable computed form	1280	meV/atom

***

A geometry-optimized NaTcAs2Se structure. Source: Alexandria via LeMat-Bulk, functional PBE.

a b c (Å): 4.829 4.829 4.839
angles (deg): 90.00 90.00 90.00
Element x y z (fractional)
1 Na 0.000 0.000 0.000
2 As 0.000 0.500 0.000
3 As 0.500 0.000 0.000
4 Tc 0.500 0.500 0.500
5 Se 0.000 0.000 0.500

Values from the calculation:
electronic total energy	-3.272	eV/atom
V	22.57	Å³ per atom
formation energy from raw total energies	156.5	kJ per mole of atoms
offset from the most stable computed form	1538	meV/atom

***

Among the records above, which one has the lowest V? number 4

***

V of number 3 (NaTaAsSe2)? 26.13 Å³ per atom

***

The lowest V belongs to which entry? number 4

***

Look up the V of the third one. 26.13 Å³ per atom